(1)
DFT (PBE-GGA) results for a geometry-optimized Ta2Ir5RhW structure.

Unit cell a=7.380 b=7.380 c=7.610 alpha=119.00 beta=119.00 gamma=90.00
Sites, in units of the cell vectors:
Ta1 0.119 0.381 0.000
Ta2 0.619 0.119 0.000
Ta3 0.381 0.881 0.000
Ta4 0.881 0.619 0.000
Ir1 0.931 0.431 0.275
Ir2 0.656 0.156 0.725
Ir3 0.069 0.569 0.725
Ir4 0.156 0.069 0.725
Ir5 0.569 0.656 0.725
Ir6 0.844 0.931 0.275
Ir7 0.431 0.344 0.275
Ir8 0.344 0.844 0.275
Ir9 0.500 0.500 0.000
Ir10 0.000 0.000 0.000
Rh1 0.250 0.750 0.500
Rh2 0.750 0.250 0.500
W1 0.250 0.250 0.500
W2 0.750 0.750 0.500

Computed properties:
Energy in eV per atom: -9.43
Magnetic moment in μB/f.u.: 0.0

***

(2)
DFT (PBE-GGA) results for a geometry-optimized TaZnIrRh2 structure.

Unit cell a=4.708 b=4.793 c=4.708 alpha=90.00 beta=90.00 gamma=90.00
Sites, in units of the cell vectors:
Zn1 0.500 0.500 0.500
Ir1 0.000 0.500 0.000
Rh1 0.000 0.000 0.500
Rh2 0.500 0.000 0.000
Ta1 0.000 0.000 0.000

Computed properties:
Energy in eV per atom: -6.32
Magnetic moment in μB/f.u.: 0.0

***

(3)
DFT (PBE-GGA) results for a geometry-optimized ZrTaIrRh structure.

Unit cell a=4.601 b=4.601 c=4.601 alpha=60.00 beta=60.00 gamma=60.00
Sites, in units of the cell vectors:
Ir1 0.500 0.500 0.500
Rh1 0.000 0.000 0.000
Zr1 0.750 0.750 0.750
Ta1 0.250 0.250 0.250

Computed properties:
Energy in eV per atom: -9.67
Magnetic moment in μB/f.u.: 0.0

***

(4)
DFT (PBE-GGA) results for a geometry-optimized Tb3IrRh structure.

Unit cell a=5.646 b=5.729 c=9.325 alpha=122.81 beta=92.33 gamma=104.02
Sites, in units of the cell vectors:
Tb1 0.440 0.826 0.112
Tb2 0.296 0.231 0.531
Tb3 0.934 0.659 0.796
Tb4 0.066 0.341 0.204
Tb5 0.560 0.174 0.888
Tb6 0.704 0.769 0.469
Ir1 0.775 0.242 0.429
Ir2 0.225 0.758 0.571
Rh1 0.929 0.760 0.145
Rh2 0.071 0.240 0.855

Computed properties:
Magnetic moment in μB/f.u.: 0.0
E above lowest polymorph in eV/atom: 0.0000

***

(5)
DFT (PBE-GGA) results for a geometry-optimized Tb2Ir2Rh structure.

Unit cell a=4.514 b=5.407 c=5.441 alpha=119.79 beta=114.50 gamma=90.00
Sites, in units of the cell vectors:
Tb1 0.797 0.297 0.594
Tb2 0.203 0.703 0.406
Ir1 0.500 0.736 0.000
Ir2 0.500 0.264 0.000
Rh1 0.000 0.000 0.000

Computed properties:
Energy in eV per atom: -7.60
Magnetic moment in μB/f.u.: 0.0

***

(6)
DFT (PBE-GGA) results for a geometry-optimized Tb3Ir2Rh structure.

Unit cell a=3.447 b=3.447 c=10.325 alpha=90.00 beta=90.00 gamma=90.00
Each line ends with the local moment (μB).
Sites, in units of the cell vectors:
Tb1 0.000 0.000 0.000  -0.01
Tb2 0.000 0.000 0.668  -0.01
Tb3 0.000 0.000 0.332  -0.01
Ir1 0.500 0.500 0.832  0.09
Ir2 0.500 0.500 0.168  0.09
Rh1 0.500 0.500 0.500  0.00

Computed properties:
Magnetic moment in μB/f.u.: 0.2
E above lowest polymorph in eV/atom: 0.0089

***

(7)
DFT (PBE-GGA) results for a geometry-optimized TbIrRh structure.

Unit cell a=5.339 b=5.362 c=5.362 alpha=59.98 beta=60.14 gamma=60.14
Sites, in units of the cell vectors:
Tb1 0.876 0.374 0.374
Tb2 0.124 0.626 0.626
Ir1 0.000 0.000 0.000
Ir2 0.500 0.000 0.000
Rh1 0.500 0.500 0.000
Rh2 0.500 0.000 0.500

Computed properties:
Magnetic moment in μB/f.u.: 0.0
E above lowest polymorph in eV/atom: 0.0000

***

(8)
DFT (PBE-GGA) results for a geometry-optimized Tb8IrRh2 structure.

Unit cell a=6.099 b=7.549 c=7.549 alpha=113.78 beta=100.88 gamma=100.88
Sites, in units of the cell vectors:
Tb1 0.581 0.345 0.085
Tb2 0.581 0.085 0.345
Tb3 0.168 0.357 0.357
Tb4 0.987 0.209 0.792
Tb5 0.987 0.792 0.209
Tb6 0.806 0.646 0.646
Tb7 0.378 0.923 0.664
Tb8 0.378 0.664 0.923
Ir1 0.161 0.001 0.001
Rh1 0.486 0.695 0.318
Rh2 0.486 0.318 0.695

Computed properties:
Energy in eV per atom: -5.95
Magnetic moment in μB/f.u.: 0.0